The following is a DFT calculation (PBE with a Hubbard U) of crystalline MoSOF2 at its relaxed geometry.

Cell and atoms, written as POSCAR:
```
MoSOF2
1.0
4.702 0.000 0.000
0.000 4.702 0.000
0.000 0.000 3.437
Mo S O F
1 1 1 2
Cartesian
2.351 2.351 1.719 Mo
0.000 0.000 0.000 S
0.000 0.000 1.719 O
0.000 2.351 0.000 F
2.351 0.000 0.000 F
```

Values from the calculation:
The space group is P4/mmm. The calculation puts the total DFT energy (no corrections) at -0.3152 Ry/atom. Its spin magnetization is 4.68 μB per cell. The value obtained for the energy above the most stable polymorph in this dataset is 731.8 meV/atom.